DFT (PBE-GGA) results for crystalline Ba4Pa3IO12 at its relaxed geometry.

Unit cell a=7.956 b=7.956 c=7.956 alpha=109.47 beta=109.47 gamma=109.47
Sites, in units of the cell vectors:
Ba (0.000, 0.000, 0.500)
Ba (0.000, 0.500, 0.000)
Ba (0.500, 0.000, 0.000)
Ba (0.500, 0.500, 0.500)
Pa (0.000, 0.500, 0.500)
Pa (0.500, 0.000, 0.500)
Pa (0.500, 0.500, 0.000)
I (0.000, 0.000, 0.000)
O (0.000, 0.283, 0.283)
O (0.000, 0.717, 0.717)
O (0.250, 0.500, 0.750)
O (0.250, 0.750, 0.500)
O (0.283, 0.000, 0.283)
O (0.283, 0.283, 0.000)
O (0.500, 0.250, 0.750)
O (0.500, 0.750, 0.250)
O (0.717, 0.000, 0.717)
O (0.717, 0.717, 0.000)
O (0.750, 0.250, 0.500)
O (0.750, 0.500, 0.250)

Output
* SG: Im-3m, No. 229
* electronic total energy: -0.2822 hartree per atom
* magnetic moment: 2.0 Bohr magnetons per cell